Entry from the Alexandria database: a relaxed Er5Sc2In4 crystal (PBE-GGA).

Lattice parameters (Å, degrees): 3.357 8.536 27.262 90.00 90.00 90.00
Space group Immm (No. 71)
Inequivalent atoms, fractional coordinates:
Er1 0.000 0.000 0.000
Er2 0.000 0.305 0.301
Sc1 0.000 0.500 0.405
In1 0.000 0.179 0.500
In2 0.000 0.500 0.195

Values from the calculation:
* energy relative to the elements: 3.7 eV per formula unit

=====

Entry from the Alexandria database: a relaxed Ti2IrPt2 crystal (PBE-GGA).

Lattice parameters (Å, degrees): 7.235 7.235 3.043 90.00 90.00 90.00
Space group P4/mbm (No. 127)
Inequivalent atoms, fractional coordinates:
Ti1 0.172 0.328 0.000
Ir1 0.000 0.000 0.500
Pt1 0.132 0.632 0.500

Values from the calculation:
* distance to the lowest polymorph of the same formula: 0 meV/atom
* energy relative to the elements: -3.5 eV per formula unit

=====

Entry from the Alexandria database: a relaxed Ce8HOs3Cl4 crystal (PBE-GGA).

Lattice parameters (Å, degrees): 7.9005 7.9005 22.1671 90.00 90.00 120.00
Space group R-3m (No. 166, hexagonal axes)
Inequivalent atoms, fractional coordinates:
Ce1 0.0000 0.0000 0.2362
Ce2 0.0059 0.5029 0.2366
H1 0.0000 0.0000 0.5000
Os1 0.0000 0.5000 0.5000
Cl1 0.0000 0.0000 0.0000
Cl2 0.0000 0.5000 0.0000

Values from the calculation:
* total DFT energy (no corrections): -315.874 eV/cell

=====

Entry from the Alexandria database: a relaxed MnCrCu2Re crystal (PBE-GGA).

Lattice parameters (Å, degrees): 4.374 4.374 3.959 90.00 90.00 90.00
Space group P4/mmm (No. 123)
Inequivalent atoms, fractional coordinates:
Mn1 0.000 0.000 0.000
Cr1 0.000 0.000 0.500
Cu1 0.000 0.500 0.500
Re1 0.500 0.500 0.000

Values from the calculation:
* energy relative to the elements: 8.1 eV per formula unit

=====

Question: Number 1 is which compound?
Answer: Er5Sc2In4